Entry 1:
BaMgGa3 | PBE-GGA | optimized geometry

CIF file:
```
data_BaMgGa3
_chemical_formula_sum 'Ba1 Mg1 Ga3'
_cell_length_a 5.2172
_cell_length_b 5.2172
_cell_length_c 5.2172
_cell_angle_alpha 90.00
_cell_angle_beta 90.00
_cell_angle_gamma 90.00
_symmetry_space_group_name_H-M 'P m -3 m'
_symmetry_Int_Tables_number 221
_symmetry_space_group_name_Hall '-P 4 2 3'
loop_
_atom_site_label
_atom_site_type_symbol
_atom_site_fract_x
_atom_site_fract_y
_atom_site_fract_z
Ba1 Ba 0.0000 0.0000 0.0000
Mg1 Mg 0.5000 0.5000 0.5000
Ga1 Ga 0.0000 0.5000 0.5000
```

- DOS(E_F): 2.169 states/eV per cell



Entry 2:
BaMg4Ga3 | PBE-GGA | optimized geometry

CIF file:
```
data_BaMg4Ga3
_chemical_formula_sum 'Ba1 Mg4 Ga3'
_cell_length_a 4.6688
_cell_length_b 4.6688
_cell_length_c 9.1207
_cell_angle_alpha 90.00
_cell_angle_beta 90.00
_cell_angle_gamma 90.00
_symmetry_space_group_name_H-M 'P 4/m m m'
_symmetry_Int_Tables_number 123
_symmetry_space_group_name_Hall '-P 4 2'
loop_
_atom_site_label
_atom_site_type_symbol
_atom_site_fract_x
_atom_site_fract_y
_atom_site_fract_z
Ba1 Ba 0.0000 0.0000 0.0000
Mg1 Mg 0.0000 0.5000 0.3259
Ga1 Ga 0.0000 0.0000 0.5000
Ga2 Ga 0.5000 0.5000 0.1393
```

- DOS(E_F): 4.768 states/eV per cell



Number 1: VASP energy -2.54 eV per atom, formation energy -0.0231 eV per atom. Number 2: VASP energy -2.42 eV per atom, formation energy -0.2522 eV per atom.